# Pa2Te3F (GGA-PBE, relaxed)
# - energy relative to the elements, uncorrected (eV/f.u.) = -6.7
data_Pa2Te3F
_chemical_formula_sum 'Pa4 Te6 F2'
_cell_length_a 6.921
_cell_length_b 6.921
_cell_length_c 6.743
_cell_angle_alpha 90.00
_cell_angle_beta 90.00
_cell_angle_gamma 94.03
_symmetry_space_group_name_H-M 'P 1'
_symmetry_Int_Tables_number 1
loop_
_symmetry_equiv_pos_as_xyz
'x,y,z'
loop_
_atom_site_label
_atom_site_type_symbol
_atom_site_fract_x
_atom_site_fract_y
_atom_site_fract_z
Pa1 Pa 0.233 0.233 0.000
Pa2 Pa 0.233 0.233 0.500
Pa3 Pa 0.767 0.767 0.000
Pa4 Pa 0.767 0.767 0.500
Te1 Te 0.086 0.569 0.250
Te2 Te 0.414 0.586 0.750
Te3 Te 0.431 0.914 0.250
Te4 Te 0.569 0.086 0.750
Te5 Te 0.586 0.414 0.250
Te6 Te 0.914 0.431 0.750
F1 F 0.027 0.973 0.750
F2 F 0.973 0.027 0.250

# Sc2PaTeO8 (GGA-PBE, relaxed)
# - energy relative to the elements, uncorrected (eV/f.u.) = -33.0
data_Sc2PaTeO8
_chemical_formula_sum 'Sc2 Pa1 Te1 O8'
_cell_length_a 4.872
_cell_length_b 4.872
_cell_length_c 6.760
_cell_angle_alpha 90.00
_cell_angle_beta 90.00
_cell_angle_gamma 91.28
_symmetry_space_group_name_H-M 'P 1'
_symmetry_Int_Tables_number 1
loop_
_symmetry_equiv_pos_as_xyz
'x,y,z'
loop_
_atom_site_label
_atom_site_type_symbol
_atom_site_fract_x
_atom_site_fract_y
_atom_site_fract_z
Sc1 Sc 0.000 0.000 0.243
Sc2 Sc 0.000 0.000 0.757
Pa1 Pa 0.500 0.500 0.500
Te1 Te 0.500 0.500 0.000
O1 O 0.190 0.190 0.500
O2 O 0.199 0.199 0.000
O3 O 0.307 0.693 0.236
O4 O 0.307 0.693 0.764
O5 O 0.693 0.307 0.236
O6 O 0.693 0.307 0.764
O7 O 0.801 0.801 0.000
O8 O 0.810 0.810 0.500

# LaDy8Ho3 (GGA-PBE, relaxed)
# - formation energy (eV per atom) = 0.328
data_LaDy8Ho3
_chemical_formula_sum 'La1 Dy8 Ho3'
_cell_length_a 8.654
_cell_length_b 8.654
_cell_length_c 8.654
_cell_angle_alpha 136.63
_cell_angle_beta 98.05
_cell_angle_gamma 97.65
_symmetry_space_group_name_H-M 'P 1'
_symmetry_Int_Tables_number 1
loop_
_symmetry_equiv_pos_as_xyz
'x,y,z'
loop_
_atom_site_label
_atom_site_type_symbol
_atom_site_fract_x
_atom_site_fract_y
_atom_site_fract_z
La1 La 0.000 0.000 0.000
Dy1 Dy 0.081 0.251 0.830
Dy2 Dy 0.259 0.244 0.504
Dy3 Dy 0.259 0.756 0.015
Dy4 Dy 0.421 0.251 0.170
Dy5 Dy 0.579 0.749 0.830
Dy6 Dy 0.741 0.244 0.985
Dy7 Dy 0.741 0.756 0.496
Dy8 Dy 0.919 0.749 0.170
Ho1 Ho 0.260 0.760 0.500
Ho2 Ho 0.500 0.500 0.000
Ho3 Ho 0.740 0.240 0.500

> What is the formula in the second record?

Sc2PaTeO8